{
  "formula": "YTc2Se",
  "functional": "SCAN",
  "state": "single point on PBEsol structure",
  "cell": [[-3.346, -0.227, 0.435], [0.437, -4.373, -0.043], [0.628, 0.016, 4.838]],
  "species": ["Y", "Tc", "Tc", "Se"],
  "frac_coords": [[0.000, 0.500, 0.500], [0.657, 0.752, 0.000], [0.343, 0.248, 0.000], [0.500, 0.000, 0.500]],
  "spacegroup": "P2/m, No. 10",
  "raw_formation_energy_ev_per_atom": -0.083,
  "final_energy_ev_per_atom": -29.593,
  "dos_at_fermi_per_ev_fu": 3.106
}